No. 1
The following is a DFT calculation (PBE) of a relaxed BaSr2Zn crystal.

For the energy relative to the elements, the calculation gives 14 kJ per mole of atoms.

The space group is C2/m (No. 12) and the conventional cell measures 7.615, 12.941 and 4.117 Å, with angles of 90.00, 117.19 and 90.00 degrees. The inequivalent atoms are Ba at (0.000, 0.000, 0.000), Sr at (0.250, 0.250, 0.500) and Zn at (0.000, 0.500, 0.000).

No. 2
The following is a DFT calculation (PBE) of a relaxed Sm2Al3Si2 crystal.

For the energy relative to the elements, uncorrected, the calculation gives -395 meV per atom.

The space group is Cmmm (No. 65) and the conventional cell measures 3.815, 18.767 and 4.121 Å, with angles of 90.00, 90.00 and 90.00 degrees. The inequivalent atoms are Sm at (0.000, 0.164, 0.000), Al at (0.000, 0.000, 0.000), Al at (0.000, 0.430, 0.500) and Si at (0.000, 0.289, 0.500).

No. 3
The following is a DFT calculation (PBE) of a relaxed Rb3Sm3IrO8 crystal.

For the energy relative to the elements, uncorrected, the calculation gives -2193 meV per atom.

The space group is R-3m (No. 166, hexagonal axes) and the conventional cell measures 6.9750, 6.9750 and 19.7846 Å, with angles of 90.00, 90.00 and 120.00 degrees. The inequivalent atoms are Rb at (0.0000, 0.5000, 0.0000), Sm at (0.0000, 0.5000, 0.5000), Ir at (0.0000, 0.0000, 0.5000), O at (0.0000, 0.0000, 0.2258) and O at (0.0318, 0.5159, 0.2219).

No. 4
The following is a DFT calculation (PBE) of a relaxed Er8Ga2Tc crystal.

For the energy relative to the elements, the calculation gives -24 kJ per mole of atoms.

The space group is C2/m (No. 12) and the conventional cell measures 17.344, 5.090 and 6.810 Å, with angles of 90.00, 109.84 and 90.00 degrees. The inequivalent atoms are Er at (0.021, 0.000, 0.287), Er at (0.092, 0.500, 0.935), Er at (0.157, 0.500, 0.455), Er at (0.198, 0.000, 0.795), Ga at (0.182, 0.000, 0.204) and Tc at (0.000, 0.500, 0.500).

No. 5
The following is a DFT calculation (PBE) of a relaxed Ba2AcSnPd6 crystal.

For the energy relative to the elements, the calculation gives -19 kJ per mole of atoms.

The space group is Fm-3m (No. 225) and the conventional cell measures 10.522, 10.522 and 10.522 Å, with angles of 90.00, 90.00 and 90.00 degrees. The inequivalent atoms are Ba at (0.250, 0.250, 0.250), Ac at (0.000, 0.000, 0.000), Sn at (0.000, 0.000, 0.500) and Pd at (0.000, 0.000, 0.257).

No. 6
The following is a DFT calculation (PBE) of a relaxed TbIn2Rh2 crystal.

For the energy relative to the elements, the calculation gives -53 kJ per mole of atoms.

The space group is P2_1/m (No. 11) and the conventional cell measures 5.254, 4.653 and 8.950 Å, with angles of 90.00, 106.14 and 90.00 degrees. The inequivalent atoms are Tb at (0.184, 0.250, 0.270), In at (0.245, 0.250, 0.636), In at (0.353, 0.750, 0.030), Rh at (0.110, 0.250, 0.910) and Rh at (0.306, 0.750, 0.474).